! GGA+U Ba2AlMoO, relaxed; values from VASP
! M_tot in μB/atom: 0.818
! Calculated volume in A^3/atom: 28.045
! SG: P4/mmm
! Energy in eV for the cell shown: -21.7
&SYSTEM
  ibrav = 0, nat = 5, ntyp = 4
/
ATOMIC_SPECIES
Mo 95.94 Mo.upf
Ba 137.33 Ba.upf
O 16.00 O.upf
Al 26.98 Al.upf
ATOMIC_POSITIONS crystal
Mo 0.500 0.500 0.500
Ba 0.000 0.000 0.500
Ba 0.500 0.000 0.000
O 0.000 0.000 0.000
Al 0.000 0.500 0.000
CELL_PARAMETERS angstrom
-2.839 0.166 5.141
-1.359 -3.777 -0.629
4.753 -2.160 2.695